DFT (PBE-GGA) results for an optimized crystal structure of KGaGeF2.

a b c (Å): 4.457 4.966 4.457
angles (deg): 90.00 90.00 90.00
Atoms (fractional coordinates):
Ge: 0.000 0.500 0.000
K: 0.500 0.500 0.500
Ga: 0.000 0.000 0.000
F: 0.000 0.000 0.500
F: 0.500 0.000 0.000

Values from the calculation:
Mass density, g/cm3: 3.7
Space-group type: No. 123
Formation energy from raw total energies, eV per atom: -1.152
DOS at the Fermi energy, states/eV per cell: 2.31